[1]
Material: AcPm2Y3Se6
Method: DFT, PBE
State: optimized geometry

Calculated values
ΔE_f (raw) (meV per atom): -1797
Density of states at the Fermi level (states/eV per cell): 11.8

```
data_AcPm2Y3Se6
_chemical_formula_sum 'Ac2 Pm4 Y6 Se12'
_space_group_name_H-M_alt 'C 1 2/m 1'
_space_group_IT_number 12
_space_group_name_Hall '-C 2y'
_cell_length_a 7.1745
_cell_length_b 12.4931
_cell_length_c 7.3603
_cell_angle_alpha 90.00
_cell_angle_beta 109.15
_cell_angle_gamma 90.00
loop_
_atom_site_label
_atom_site_fract_x
_atom_site_fract_y
_atom_site_fract_z
_atom_site_occupancy
Ac1 0.0000 0.0000 0.0000 1
Pm1 0.0000 0.3323 0.0000 1
Y1 0.0000 0.1630 0.5000 1
Y2 0.0000 0.5000 0.5000 1
Se1 0.2394 0.3290 0.7323 1
Se2 0.2451 0.5000 0.2633 1
```

[2]
Material: AcAg2IO6
Method: DFT, PBE
State: optimized geometry

Calculated values
ΔE_f (raw) (meV per atom): -1040

```
data_AcAg2IO6
_chemical_formula_sum 'Ac2 Ag4 I2 O12'
_space_group_name_H-M_alt 'P 1 21/c 1'
_space_group_IT_number 14
_space_group_name_Hall '-P 2ybc'
_cell_length_a 5.8984
_cell_length_b 5.9676
_cell_length_c 10.2680
_cell_angle_alpha 90.00
_cell_angle_beta 124.52
_cell_angle_gamma 90.00
loop_
_atom_site_label
_atom_site_fract_x
_atom_site_fract_y
_atom_site_fract_z
_atom_site_occupancy
Ac1 0.0000 0.0000 0.0000 1
Ag1 0.2422 0.0195 0.7459 1
I1 0.5000 0.0000 0.5000 1
O1 0.1875 0.0654 0.2883 1
O2 0.2713 0.6652 0.0416 1
O3 0.4191 0.2339 0.0716 1
```

[3]
Material: PdAu2S6
Method: DFT, PBE
State: optimized geometry

Calculated values
ΔE_f (raw) (meV per atom): 175
Density of states at the Fermi level (states/eV per cell): 9.1

```
data_PdAu2S6
_chemical_formula_sum 'Pd2 Au4 S12'
_space_group_name_H-M_alt 'C 1 2/m 1'
_space_group_IT_number 12
_space_group_name_Hall '-C 2y'
_cell_length_a 8.8374
_cell_length_b 9.1140
_cell_length_c 5.9069
_cell_angle_alpha 90.00
_cell_angle_beta 120.72
_cell_angle_gamma 90.00
loop_
_atom_site_label
_atom_site_fract_x
_atom_site_fract_y
_atom_site_fract_z
_atom_site_occupancy
Pd1 0.0000 0.0000 0.0000 1
Au1 0.0000 0.3377 0.5000 1
S1 0.0900 0.5000 0.1843 1
S2 0.2191 0.2044 0.1343 1
```

[4]
Material: PmSm2Ga3
Method: DFT, PBE
State: optimized geometry

Calculated values
Formation energy from the elements (eV/atom): -0.57
Density of states at the Fermi level (states/eV per cell): 5.5

```
data_PmSm2Ga3
_chemical_formula_sum 'Pm2 Sm4 Ga6'
_space_group_name_H-M_alt 'P -3 m 1'
_space_group_IT_number 164
_space_group_name_Hall '-P 3 2"'
_cell_length_a 5.1638
_cell_length_b 5.1638
_cell_length_c 12.7003
_cell_angle_alpha 90.00
_cell_angle_beta 90.00
_cell_angle_gamma 120.00
loop_
_atom_site_label
_atom_site_fract_x
_atom_site_fract_y
_atom_site_fract_z
_atom_site_occupancy
Pm1 0.3333 0.6667 0.1666 1
Sm1 0.0000 0.0000 0.0000 1
Sm2 0.0000 0.0000 0.5000 1
Sm3 0.3333 0.6667 0.6661 1
Ga1 0.0000 0.0000 0.2507 1
Ga2 0.3333 0.6667 0.4169 1
Ga3 0.3333 0.6667 0.9164 1
```

[5]
Material: TcTe4Os
Method: DFT, PBE
State: optimized geometry

Calculated values
ΔE_f (raw) (meV per atom): 1859
Density of states at the Fermi level (states/eV per cell): 33.5

```
data_TcTe4Os
_chemical_formula_sum 'Tc4 Te16 Os4'
_space_group_name_H-M_alt 'F -4 3 m'
_space_group_IT_number 216
_space_group_name_Hall 'F -4 2 3'
_cell_length_a 8.6161
_cell_length_b 8.6161
_cell_length_c 8.6161
_cell_angle_alpha 90.00
_cell_angle_beta 90.00
_cell_angle_gamma 90.00
loop_
_atom_site_label
_atom_site_fract_x
_atom_site_fract_y
_atom_site_fract_z
_atom_site_occupancy
Tc1 0.0000 0.0000 0.0000 1
Te1 0.1245 0.1245 0.6245 1
Os1 0.2500 0.2500 0.2500 1
```

[6]
Material: Pm3NdHg2
Method: DFT, PBE
State: optimized geometry

Calculated values
Formation energy from the elements (eV/atom): -0.33
Density of states at the Fermi level (states/eV per cell): 7.4

```
data_Pm3NdHg2
_chemical_formula_sum 'Pm6 Nd2 Hg4'
_space_group_name_H-M_alt 'P m c 21'
_space_group_IT_number 26
_space_group_name_Hall 'P 2c -2'
_cell_length_a 5.2531
_cell_length_b 9.5716
_cell_length_c 7.2295
_cell_angle_alpha 90.00
_cell_angle_beta 90.00
_cell_angle_gamma 90.00
loop_
_atom_site_label
_atom_site_fract_x
_atom_site_fract_y
_atom_site_fract_z
_atom_site_occupancy
Pm1 0.0000 0.0567 0.0000 1
Pm2 0.0000 0.3260 0.3429 1
Pm3 0.5000 0.1727 0.6845 1
Nd1 0.5000 0.4433 0.0271 1
Hg1 0.0000 0.3504 0.7768 1
Hg2 0.5000 0.1485 0.2500 1
```

[7]
Material: SnTe3
Method: DFT, PBE
State: optimized geometry

Calculated values
ΔE_f (raw) (meV per atom): 101
Density of states at the Fermi level (states/eV per cell): 5.5

```
data_SnTe3
_chemical_formula_sum 'Sn2 Te6'
_space_group_name_H-M_alt 'I 4/m m m'
_space_group_IT_number 139
_space_group_name_Hall '-I 4 2'
_cell_length_a 4.2954
_cell_length_b 4.2954
_cell_length_c 15.2856
_cell_angle_alpha 90.00
_cell_angle_beta 90.00
_cell_angle_gamma 90.00
loop_
_atom_site_label
_atom_site_fract_x
_atom_site_fract_y
_atom_site_fract_z
_atom_site_occupancy
Sn1 0.0000 0.0000 0.0000 1
Te1 0.0000 0.0000 0.5000 1
Te2 0.0000 0.5000 0.2500 1
```

[8]
Material: PuPtF
Method: DFT, PBE
State: optimized geometry

Calculated values
ΔE_f (raw) (meV per atom): -1826
Density of states at the Fermi level (states/eV per cell): 44.7

```
data_PuPtF
_chemical_formula_sum 'Pu4 Pt4 F4'
_space_group_name_H-M_alt 'C 1 2/m 1'
_space_group_IT_number 12
_space_group_name_Hall '-C 2y'
_cell_length_a 6.9492
_cell_length_b 4.4641
_cell_length_c 7.9950
_cell_angle_alpha 90.00
_cell_angle_beta 107.99
_cell_angle_gamma 90.00
loop_
_atom_site_label
_atom_site_fract_x
_atom_site_fract_y
_atom_site_fract_z
_atom_site_occupancy
Pu1 0.0682 0.0000 0.2664 1
Pt1 0.1515 0.5000 0.9299 1
F1 0.2054 0.0000 0.5909 1
```

[9]
Material: LiYP2S
Method: DFT, PBE
State: optimized geometry

Calculated values
ΔE_f (raw) (meV per atom): 46
Density of states at the Fermi level (states/eV per cell): 3.9

```
data_LiYP2S
_chemical_formula_sum 'Li1 Y1 P2 S1'
_space_group_name_H-M_alt 'P 4/m m m'
_space_group_IT_number 123
_space_group_name_Hall '-P 4 2'
_cell_length_a 5.3316
_cell_length_b 5.3316
_cell_length_c 5.2494
_cell_angle_alpha 90.00
_cell_angle_beta 90.00
_cell_angle_gamma 90.00
loop_
_atom_site_label
_atom_site_fract_x
_atom_site_fract_y
_atom_site_fract_z
_atom_site_occupancy
Li1 0.0000 0.0000 0.0000 1
Y1 0.5000 0.5000 0.5000 1
P1 0.0000 0.5000 0.5000 1
S1 0.5000 0.5000 0.0000 1
```

[10]
Material: CdHgMo3
Method: DFT, PBE
State: optimized geometry

Calculated values
Formation energy from the elements (eV/atom): 2.45
Density of states at the Fermi level (states/eV per cell): 8.7

```
data_CdHgMo3
_chemical_formula_sum 'Cd1 Hg1 Mo3'
_space_group_name_H-M_alt 'P m -3 m'
_space_group_IT_number 221
_space_group_name_Hall '-P 4 2 3'
_cell_length_a 4.8790
_cell_length_b 4.8790
_cell_length_c 4.8790
_cell_angle_alpha 90.00
_cell_angle_beta 90.00
_cell_angle_gamma 90.00
loop_
_atom_site_label
_atom_site_fract_x
_atom_site_fract_y
_atom_site_fract_z
_atom_site_occupancy
Cd1 0.0000 0.0000 0.0000 1
Hg1 0.5000 0.5000 0.5000 1
Mo1 0.0000 0.0000 0.5000 1
```

[11]
Material: AcCeTlPb
Method: DFT, PBE
State: optimized geometry

Calculated values
Formation energy from the elements (eV/atom): -0.32
Density of states at the Fermi level (states/eV per cell): 36.7

```
data_AcCeTlPb
_chemical_formula_sum 'Ac4 Ce4 Tl4 Pb4'
_space_group_name_H-M_alt 'F -4 3 m'
_space_group_IT_number 216
_space_group_name_Hall 'F -4 2 3'
_cell_length_a 8.0802
_cell_length_b 8.0802
_cell_length_c 8.0802
_cell_angle_alpha 90.00
_cell_angle_beta 90.00
_cell_angle_gamma 90.00
loop_
_atom_site_label
_atom_site_fract_x
_atom_site_fract_y
_atom_site_fract_z
_atom_site_occupancy
Ac1 0.0000 0.0000 0.0000 1
Ce1 0.0000 0.0000 0.5000 1
Tl1 0.2500 0.2500 0.7500 1
Pb1 0.2500 0.2500 0.2500 1
```

[12]
Material: TbPm8Nd6
Method: DFT, PBE
State: optimized geometry

Calculated values
Formation energy from the elements (eV/atom): 0.11
Density of states at the Fermi level (states/eV per cell): 64.9

```
data_TbPm8Nd6
_chemical_formula_sum 'Tb3 Pm24 Nd18'
_space_group_name_H-M_alt 'R -3'
_space_group_IT_number 148
_space_group_name_Hall '-R 3'
_cell_length_a 9.2875
_cell_length_b 9.2875
_cell_length_c 21.0819
_cell_angle_alpha 90.00
_cell_angle_beta 90.00
_cell_angle_gamma 120.00
loop_
_atom_site_label
_atom_site_fract_x
_atom_site_fract_y
_atom_site_fract_z
_atom_site_occupancy
Tb1 0.0000 0.0000 0.0000 1
Pm1 0.0000 0.0000 0.4226 1
Pm2 0.0805 0.5568 0.8067 1
Nd1 0.0542 0.2470 0.7081 1
```

Repeat the fourth record exactly.
Material: PmSm2Ga3
Method: DFT, PBE
State: optimized geometry

Calculated values
Formation energy from the elements (eV/atom): -0.57
Density of states at the Fermi level (states/eV per cell): 5.5

```
data_PmSm2Ga3
_chemical_formula_sum 'Pm2 Sm4 Ga6'
_space_group_name_H-M_alt 'P -3 m 1'
_space_group_IT_number 164
_space_group_name_Hall '-P 3 2"'
_cell_length_a 5.1638
_cell_length_b 5.1638
_cell_length_c 12.7003
_cell_angle_alpha 90.00
_cell_angle_beta 90.00
_cell_angle_gamma 120.00
loop_
_atom_site_label
_atom_site_fract_x
_atom_site_fract_y
_atom_site_fract_z
_atom_site_occupancy
Pm1 0.3333 0.6667 0.1666 1
Sm1 0.0000 0.0000 0.0000 1
Sm2 0.0000 0.0000 0.5000 1
Sm3 0.3333 0.6667 0.6661 1
Ga1 0.0000 0.0000 0.2507 1
Ga2 0.3333 0.6667 0.4169 1
Ga3 0.3333 0.6667 0.9164 1
```

Copy entry 4 word for word.
Material: PmSm2Ga3
Method: DFT, PBE
State: optimized geometry

Calculated values
Formation energy from the elements (eV/atom): -0.57
Density of states at the Fermi level (states/eV per cell): 5.5

```
data_PmSm2Ga3
_chemical_formula_sum 'Pm2 Sm4 Ga6'
_space_group_name_H-M_alt 'P -3 m 1'
_space_group_IT_number 164
_space_group_name_Hall '-P 3 2"'
_cell_length_a 5.1638
_cell_length_b 5.1638
_cell_length_c 12.7003
_cell_angle_alpha 90.00
_cell_angle_beta 90.00
_cell_angle_gamma 120.00
loop_
_atom_site_label
_atom_site_fract_x
_atom_site_fract_y
_atom_site_fract_z
_atom_site_occupancy
Pm1 0.3333 0.6667 0.1666 1
Sm1 0.0000 0.0000 0.0000 1
Sm2 0.0000 0.0000 0.5000 1
Sm3 0.3333 0.6667 0.6661 1
Ga1 0.0000 0.0000 0.2507 1
Ga2 0.3333 0.6667 0.4169 1
Ga3 0.3333 0.6667 0.9164 1
```